(1)
# Sr3Au, single point on PBEsol structure, DFT SCAN
data_Sr3Au
_chemical_formula_sum 'Sr9 Au3'
_cell_length_a 11.3743
_cell_length_b 11.3743
_cell_length_c 3.9030
_cell_angle_alpha 90.00
_cell_angle_beta 90.00
_cell_angle_gamma 120.00
_space_group_name_H-M_alt 'R -3 m'
_space_group_IT_number 166
_space_group_name_Hall '-R 3 2"'
loop_
_atom_site_label
_atom_site_type_symbol
_atom_site_fract_x
_atom_site_fract_y
_atom_site_fract_z
_atom_site_occupancy
Sr1 Sr 0.0000 0.5000 0.0000 1
Au1 Au 0.0000 0.0000 0.0000 1
# volume	437	Å³/cell
# formation energy	-15	meV/atom
# crystal system	trigonal

(2)
# YSbBr2, single point on PBEsol structure, DFT SCAN
data_YSbBr2
_chemical_formula_sum 'Y3 Sb3 Br6'
_cell_length_a 3.5591
_cell_length_b 3.5591
_cell_length_c 30.9365
_cell_angle_alpha 90.00
_cell_angle_beta 90.00
_cell_angle_gamma 120.00
_space_group_name_H-M_alt 'R -3 m'
_space_group_IT_number 166
_space_group_name_Hall '-R 3 2"'
loop_
_atom_site_label
_atom_site_type_symbol
_atom_site_fract_x
_atom_site_fract_y
_atom_site_fract_z
_atom_site_occupancy
Y1 Y 0.0000 0.0000 0.0000 1
Sb1 Sb 0.0000 0.0000 0.5000 1
Br1 Br 0.0000 0.0000 0.0869 1
# ΔE_f (raw)	-391	meV per atom
# volume	339	Å³/cell
# polymorph energy (0 for the lowest one)	589	meV/atom
# crystal system	trigonal

(3)
# RbSmC2O6, single point on PBEsol structure, DFT SCAN
data_RbSmC2O6
_chemical_formula_sum 'Rb4 Sm4 C8 O24'
_cell_length_a 8.672
_cell_length_b 9.647
_cell_length_c 7.114
_cell_angle_alpha 90.00
_cell_angle_beta 110.46
_cell_angle_gamma 90.00
_space_group_name_H-M_alt 'C 1 2/c 1'
_space_group_IT_number 15
loop_
_space_group_symop_operation_xyz
'x,y,z'
'-x,-y,-z'
'-x,y,-z+1/2'
'x,-y,z+1/2'
'x+1/2,y+1/2,z'
'-x+1/2,-y+1/2,-z'
'-x+1/2,y+1/2,-z+1/2'
'x+1/2,-y+1/2,z+1/2'
loop_
_atom_site_label
_atom_site_type_symbol
_atom_site_fract_x
_atom_site_fract_y
_atom_site_fract_z
_atom_site_occupancy
Rb1 Rb 0.000 0.118 0.250 1
Sm1 Sm 0.000 0.404 0.750 1
C1 C 0.228 0.376 0.252 1
O1 O 0.085 0.384 0.105 1
O2 O 0.176 0.226 0.731 1
O3 O 0.238 0.023 0.620 1
# ΔE_f (raw)	-2322	meV per atom
# volume	558	Å³/cell
# crystal system	monoclinic

The lowest volume belongs to which entry? YSbBr2